# 1
Density functional theory data (PBE) for a relaxed CuSnN3 crystal.

The raw formation energy is 1.7015 eV per atom. The calculation puts the electronic total energy at -4.914 eV/atom.

Unit cell a=3.798 b=3.798 c=3.798 alpha=90.00 beta=90.00 gamma=90.00
Space group Pm-3m (No. 221)
Unique sites:
Cu1 0.000 0.000 0.000 (multiplicity 1)
Sn1 0.500 0.500 0.500 (multiplicity 1)
N1 0.000 0.000 0.500 (multiplicity 3)


# 2
Density functional theory data (PBE) for a relaxed CuSn3N crystal.

The raw formation energy is 1.2000 eV per atom. As for the energy above the most stable polymorph in this dataset: 0.548 eV per atom. The calculation puts the electronic total energy at -3.686 eV/atom.

Unit cell a=4.941 b=4.941 c=4.941 alpha=90.00 beta=90.00 gamma=90.00
Space group Pm-3m (No. 221)
Unique sites:
Cu1 0.000 0.000 0.000 (multiplicity 1)
Sn1 0.000 0.000 0.500 (multiplicity 3)
N1 0.500 0.500 0.500 (multiplicity 1)


# 3
Density functional theory data (PBE) for a relaxed Cu2SnN crystal.

The raw formation energy is 0.9815 eV per atom. As for the energy above the most stable polymorph in this dataset: 0.599 eV per atom. The calculation puts the electronic total energy at -4.149 eV/atom.

Unit cell a=6.069 b=6.069 c=6.069 alpha=90.00 beta=90.00 gamma=90.00
Space group Fm-3m (No. 225)
Unique sites:
Cu1 0.250 0.250 0.250 (multiplicity 8)
Sn1 0.000 0.000 0.000 (multiplicity 4)
N1 0.000 0.000 0.500 (multiplicity 4)